(1)
Material: YBBr2
Method: DFT, PBE
State: optimized geometry

Cell lengths 7.8022, 7.8022, 7.8022 Å; angles 96.17, 96.17, 141.74 degrees
Positions (direct):
Y1 0.0000 0.0000 0.0000
Y2 0.7500 0.2500 0.5000
B1 0.2500 0.7500 0.5000
B2 0.5000 0.5000 0.0000
Br1 0.3750 0.2095 0.3345
Br2 0.7905 0.1250 0.1655
Br3 0.8750 0.0405 0.6655
Br4 0.9595 0.6250 0.8345

Calculated values
- final energy (eV/cell) = -34.04
- energy relative to the elements, uncorrected (eV/f.u.) = -0.5
- SG = No. 122

(2)
Material: Y4BBr6
Method: DFT, PBE
State: optimized geometry

Cell lengths 10.7698, 10.7698, 12.6379 Å; angles 95.16, 95.16, 63.31 degrees
Positions (direct):
Y1 0.0297 0.7893 0.1925
Y2 0.0432 0.2832 0.5448
Y3 0.0809 0.8597 0.9123
Y4 0.1403 0.9191 0.5877
Y5 0.2107 0.9703 0.3075
Y6 0.2832 0.0432 0.0448
Y7 0.3110 0.6169 0.3960
Y8 0.3831 0.6890 0.1040
Y9 0.6169 0.3110 0.8960
Y10 0.6890 0.3831 0.6040
Y11 0.7168 0.9568 0.9552
Y12 0.7893 0.0297 0.6925
Y13 0.8597 0.0809 0.4123
Y14 0.9191 0.1403 0.0877
Y15 0.9568 0.7168 0.4552
Y16 0.9703 0.2107 0.8075
B1 0.0876 0.8400 0.3947
B2 0.1600 0.9124 0.1053
B3 0.8400 0.0876 0.8947
B4 0.9124 0.1600 0.6053
Br1 0.0307 0.7523 0.6859
Br2 0.0457 0.3061 0.0231
Br3 0.1212 0.3555 0.7457
Br4 0.1921 0.4478 0.4675
Br5 0.2477 0.9693 0.8141
Br6 0.2749 0.5164 0.1823
Br7 0.3061 0.0457 0.5231
Br8 0.3415 0.5864 0.8966
Br9 0.3555 0.1212 0.2457
Br10 0.4136 0.6585 0.6034
Br11 0.4478 0.1921 0.9675
Br12 0.4836 0.7251 0.3177
Br13 0.5164 0.2749 0.6823
Br14 0.5522 0.8079 0.0325
Br15 0.5864 0.3415 0.3966
Br16 0.6445 0.8788 0.7543
Br17 0.6585 0.4136 0.1034
Br18 0.6939 0.9543 0.4769
Br19 0.7251 0.4836 0.8177
Br20 0.7523 0.0307 0.1859
Br21 0.8079 0.5522 0.5325
Br22 0.8788 0.6445 0.2543
Br23 0.9543 0.6939 0.9769
Br24 0.9693 0.2477 0.3141

Calculated values
- final energy (eV/cell) = -237.20
- energy relative to the elements, uncorrected (eV/f.u.) = -16.7
- SG = No. 15

(3)
Material: YB2Br2
Method: DFT, PBE
State: optimized geometry

Cell lengths 5.8188, 5.8188, 5.8188 Å; angles 135.77, 135.77, 64.34 degrees
Positions (direct):
Y1 0.0000 0.0000 0.0000
B1 0.4225 0.4225 0.0000
B2 0.5775 0.5775 0.0000
Br1 0.2500 0.7500 0.5000
Br2 0.7500 0.2500 0.5000

Calculated values
- final energy (eV/cell) = -19.86
- energy relative to the elements, uncorrected (eV/f.u.) = 3.3
- SG = No. 139

Among the records above, which one has the highest final energy? YB2Br2

Which of these has the highest final energy? YB2Br2

Which value of energy relative to the elements, uncorrected does entry 2 give? -16.7 eV/f.u.